# 1
# LaGd3 GGA-PBE relaxed
# - Formation energy from the elements: 0.03 eV/atom
# - Volume: 134.5 Å³ per cell
# - Mass density: 7.5 g cm⁻³
# - E above lowest polymorph: 0.019 eV per atom
# - E: -47.05 eV per cell
# - Spin magnetization: 22.19 μB/f.u.
# - SG: Pm-3m
data_LaGd3
_space_group_name_H-M_alt 'P 1'
_space_group_IT_number 1
_space_group_name_Hall 'P 1'
_cell_length_a 5.123
_cell_length_b 5.123
_cell_length_c 5.123
_cell_angle_alpha 90.00
_cell_angle_beta 90.00
_cell_angle_gamma 90.00
loop_
_atom_site_label
_atom_site_type_symbol
_atom_site_fract_x
_atom_site_fract_y
_atom_site_fract_z
La1 La 0.000 0.000 0.000
Gd1 Gd 0.000 0.500 0.500
Gd2 Gd 0.500 0.000 0.500
Gd3 Gd 0.500 0.500 0.000

# 2
# MnP2SI GGA-PBE relaxed
# - Volume: 93.6 Å³ per cell
# - Energy relative to the elements, uncorrected: 0.465 eV per atom
# - Mass density: 4.9 g cm⁻³
# - E above lowest polymorph: 0.000 eV per atom
# - E: -23.34 eV per cell
# - Spin magnetization: 1.33 μB/f.u.
# - SG: P4/mmm
data_MnP2SI
_space_group_name_H-M_alt 'P 1'
_space_group_IT_number 1
_space_group_name_Hall 'P 1'
_cell_length_a 4.643
_cell_length_b 4.643
_cell_length_c 4.344
_cell_angle_alpha 90.00
_cell_angle_beta 90.00
_cell_angle_gamma 90.00
loop_
_atom_site_label
_atom_site_type_symbol
_atom_site_fract_x
_atom_site_fract_y
_atom_site_fract_z
Mn1 Mn 0.000 0.000 0.000
P1 P 0.000 0.500 0.000
P2 P 0.500 0.000 0.000
S1 S 0.000 0.000 0.500
I1 I 0.500 0.500 0.500

# 3
# VCrGa2 GGA-PBE relaxed
# - Formation energy from the elements: 0.09 eV/atom
# - Volume: 56.0 Å³ per cell
# - Mass density: 7.2 g cm⁻³
# - E above lowest polymorph: 0.140 eV per atom
# - E: -24.45 eV per cell
# - Spin magnetization: 0.01 μB/f.u.
# - SG: R-3m
data_VCrGa2
_space_group_name_H-M_alt 'P 1'
_space_group_IT_number 1
_space_group_name_Hall 'P 1'
_cell_length_a 8.728
_cell_length_b 8.728
_cell_length_c 8.728
_cell_angle_alpha 18.09
_cell_angle_beta 18.09
_cell_angle_gamma 18.09
loop_
_atom_site_label
_atom_site_type_symbol
_atom_site_fract_x
_atom_site_fract_y
_atom_site_fract_z
V1 V 0.000 0.000 0.000
Cr1 Cr 0.500 0.500 0.500
Ga1 Ga 0.248 0.248 0.248
Ga2 Ga 0.752 0.752 0.752

# 4
# K2Cu2Pb GGA-PBE relaxed
# - Formation energy from the elements: 0.21 eV/atom
# - Volume: 281.7 Å³ per cell
# - Mass density: 4.9 g cm⁻³
# - E above lowest polymorph: 0.025 eV per atom
# - E: -26.05 eV per cell
# - Spin magnetization: 0.00 μB/f.u.
# - SG: P4/mbm
data_K2Cu2Pb
_space_group_name_H-M_alt 'P 1'
_space_group_IT_number 1
_space_group_name_Hall 'P 1'
_cell_length_a 7.087
_cell_length_b 7.087
_cell_length_c 5.608
_cell_angle_alpha 90.00
_cell_angle_beta 90.00
_cell_angle_gamma 90.00
loop_
_atom_site_label
_atom_site_type_symbol
_atom_site_fract_x
_atom_site_fract_y
_atom_site_fract_z
K1 K 0.180 0.320 0.000
K2 K 0.320 0.820 0.000
K3 K 0.680 0.180 0.000
K4 K 0.820 0.680 0.000
Cu1 Cu 0.124 0.624 0.500
Cu2 Cu 0.376 0.124 0.500
Cu3 Cu 0.624 0.876 0.500
Cu4 Cu 0.876 0.376 0.500
Pb1 Pb 0.000 0.000 0.500
Pb2 Pb 0.500 0.500 0.500

# 5
# VSn2SI GGA-PBE relaxed
# - Volume: 129.9 Å³ per cell
# - Energy relative to the elements, uncorrected: -0.141 eV per atom
# - Mass density: 5.7 g cm⁻³
# - E: -23.50 eV per cell
# - Spin magnetization: 0.56 μB/f.u.
# - SG: P4/mmm
data_VSn2SI
_space_group_name_H-M_alt 'P 1'
_space_group_IT_number 1
_space_group_name_Hall 'P 1'
_cell_length_a 5.414
_cell_length_b 5.414
_cell_length_c 4.432
_cell_angle_alpha 90.00
_cell_angle_beta 90.00
_cell_angle_gamma 90.00
loop_
_atom_site_label
_atom_site_type_symbol
_atom_site_fract_x
_atom_site_fract_y
_atom_site_fract_z
V1 V 0.000 0.000 0.000
Sn1 Sn 0.000 0.500 0.000
Sn2 Sn 0.500 0.000 0.000
S1 S 0.000 0.000 0.500
I1 I 0.500 0.500 0.500

# 6
# La4RuAu GGA-PBE relaxed
# - Formation energy from the elements: 0.60 eV/atom
# - Volume: 165.5 Å³ per cell
# - Mass density: 8.6 g cm⁻³
# - E above lowest polymorph: 1.023 eV per atom
# - E: -28.68 eV per cell
# - Spin magnetization: 0.00 μB/f.u.
# - SG: F-43m
data_La4RuAu
_space_group_name_H-M_alt 'P 1'
_space_group_IT_number 1
_space_group_name_Hall 'P 1'
_cell_length_a 6.162
_cell_length_b 6.162
_cell_length_c 6.162
_cell_angle_alpha 60.00
_cell_angle_beta 60.00
_cell_angle_gamma 60.00
loop_
_atom_site_label
_atom_site_type_symbol
_atom_site_fract_x
_atom_site_fract_y
_atom_site_fract_z
La1 La 0.124 0.124 0.124
La2 La 0.124 0.124 0.627
La3 La 0.124 0.627 0.124
La4 La 0.627 0.124 0.124
Ru1 Ru 0.750 0.750 0.750
Au1 Au 0.500 0.500 0.500

# 7
# Tb2MgTl3S6 GGA-PBE relaxed
# - Volume: 302.0 Å³ per cell
# - Energy relative to the elements, uncorrected: -1.205 eV per atom
# - Mass density: 6.3 g cm⁻³
# - E: -57.18 eV per cell
# - Spin magnetization: 0.00 μB/f.u.
# - SG: C2/m
data_Tb2MgTl3S6
_space_group_name_H-M_alt 'P 1'
_space_group_IT_number 1
_space_group_name_Hall 'P 1'
_cell_length_a 6.942
_cell_length_b 6.942
_cell_length_c 7.598
_cell_angle_alpha 98.77
_cell_angle_beta 98.77
_cell_angle_gamma 119.99
loop_
_atom_site_label
_atom_site_type_symbol
_atom_site_fract_x
_atom_site_fract_y
_atom_site_fract_z
Tb1 Tb 0.166 0.834 0.000
Tb2 Tb 0.834 0.166 0.000
Mg1 Mg 0.500 0.500 0.000
Tl1 Tl 0.000 0.000 0.500
Tl2 Tl 0.333 0.667 0.500
Tl3 Tl 0.667 0.333 0.500
S1 S 0.108 0.433 0.799
S2 S 0.242 0.242 0.203
S3 S 0.433 0.108 0.799
S4 S 0.567 0.892 0.201
S5 S 0.758 0.758 0.797
S6 S 0.892 0.567 0.201

# 8
# BaTa2Ni GGA-PBE relaxed
# - Formation energy from the elements: 0.61 eV/atom
# - Volume: 89.0 Å³ per cell
# - Mass density: 10.4 g cm⁻³
# - E above lowest polymorph: 0.198 eV per atom
# - E: -28.97 eV per cell
# - Spin magnetization: 0.00 μB/f.u.
# - SG: P2/m
data_BaTa2Ni
_space_group_name_H-M_alt 'P 1'
_space_group_IT_number 1
_space_group_name_Hall 'P 1'
_cell_length_a 3.025
_cell_length_b 3.651
_cell_length_c 8.061
_cell_angle_alpha 90.00
_cell_angle_beta 90.93
_cell_angle_gamma 90.00
loop_
_atom_site_label
_atom_site_type_symbol
_atom_site_fract_x
_atom_site_fract_y
_atom_site_fract_z
Ba1 Ba 0.000 0.000 0.000
Ta1 Ta 0.431 0.500 0.656
Ta2 Ta 0.569 0.500 0.344
Ni1 Ni 0.000 0.000 0.500

Q: Look up the volume of the seventh one.
A: 302.0 Å³ per cell

Q: Among the records above, which one has the lowest volume?
A: VCrGa2

Q: Which value of E does entry 7 give?
A: -57.18 eV per cell

Q: volume of number 5 (VSn2SI)?
A: 129.9 Å³ per cell